Record 1
Computed, not measured: a geometry-optimized ZrTaMo2 structure at the PBE-GGA level of DFT.

Cell lengths 3.227, 3.227, 6.882 Å; angles 90.00, 90.00, 90.00 degrees
Fractional positions:
1 Zr 0.000 0.000 0.000
2 Ta 0.500 0.500 0.720
3 Mo 0.000 0.000 0.484
4 Mo 0.500 0.500 0.266

Results
- crystal system = tetragonal
- size of the total moment (μB per cell) = 0.00
- DFT formation energy (meV/atom) = -21
- energy (eV per atom) = -10.537
- excess energy over the best structure of this formula in the dataset (meV/atom) = 53

---

Record 2
Computed, not measured: a geometry-optimized AgAs2Os structure at the PBE-GGA level of DFT.

Cell lengths 2.741, 4.558, 5.559 Å; angles 90.00, 90.00, 90.00 degrees
Fractional positions:
1 Ag 0.000 0.000 0.000
2 As 0.500 0.500 0.265
3 As 0.500 0.500 0.735
4 Os 0.500 0.000 0.500

Results
- crystal system = orthorhombic
- size of the total moment (μB per cell) = 0.00
- DFT formation energy (meV/atom) = 508
- energy (eV per atom) = -5.337
- excess energy over the best structure of this formula in the dataset (meV/atom) = 323

---

Record 3
Computed, not measured: a geometry-optimized KBaPrCl6 structure at the PBE-GGA level of DFT.

Cell lengths 7.671, 7.671, 12.922 Å; angles 90.00, 90.00, 120.00 degrees
Fractional positions:
1 K 0.333 0.667 0.250
2 K 0.667 0.333 0.750
3 Ba 0.000 0.000 0.000
4 Ba 0.000 0.000 0.500
5 Pr 0.333 0.667 0.750
6 Pr 0.667 0.333 0.250
7 Cl 0.038 0.361 0.630
8 Cl 0.038 0.677 0.870
9 Cl 0.323 0.361 0.870
10 Cl 0.323 0.962 0.630
11 Cl 0.361 0.038 0.130
12 Cl 0.361 0.323 0.370
13 Cl 0.639 0.677 0.630
14 Cl 0.639 0.962 0.870
15 Cl 0.677 0.038 0.370
16 Cl 0.677 0.639 0.130
17 Cl 0.962 0.323 0.130
18 Cl 0.962 0.639 0.370

Results
- crystal system = trigonal
- size of the total moment (μB per cell) = 0.00
- formation energy without anion corrections (eV per formula unit) = -20.54
- energy (eV per atom) = -4.380